No. 1
VASP calculation (PBE-GGA) on a relaxed NaNdFeSe3 crystal.

Cell lengths 7.009, 7.009, 11.177 Å; angles 90.00, 90.00, 145.74 degrees
Sites, in units of the cell vectors:
Na (0.245, 0.755, 0.750)
Na (0.755, 0.245, 0.250)
Nd (0.000, 0.000, 0.000)
Nd (0.000, 0.000, 0.500)
Fe (0.472, 0.528, 0.250)
Fe (0.528, 0.472, 0.750)
Se (0.080, 0.920, 0.250)
Se (0.359, 0.641, 0.081)
Se (0.359, 0.641, 0.419)
Se (0.641, 0.359, 0.581)
Se (0.641, 0.359, 0.919)
Se (0.920, 0.080, 0.750)

Calculated values
Energy: -5.24 eV per atom
Symmetry: No. 63

=====

No. 2
VASP calculation (PBE-GGA) on a relaxed BaMg2CdGe crystal.

Cell lengths 7.089, 7.089, 7.089 Å; angles 141.56, 141.56, 55.49 degrees
Sites, in units of the cell vectors:
Ba (0.000, 0.000, 0.000)
Mg (0.267, 0.767, 0.500)
Mg (0.767, 0.267, 0.500)
Cd (0.618, 0.618, 0.000)
Ge (0.393, 0.393, 0.000)

Calculated values
Energy: -2.48 eV per atom
Symmetry: No. 107

=====

No. 3
VASP calculation (PBE-GGA) on a relaxed ScAgTe2 crystal.

Cell lengths 7.933, 7.933, 7.933 Å; angles 30.94, 30.94, 30.94 degrees
Sites, in units of the cell vectors:
Sc (0.000, 0.000, 0.000)
Ag (0.143, 0.143, 0.143)
Te (0.263, 0.263, 0.263)
Te (0.743, 0.743, 0.743)

Calculated values
Energy: -4.66 eV per atom
Symmetry: No. 160

=====

No. 4
VASP calculation (PBE-GGA) on a relaxed UReGe crystal.

Cell lengths 4.542, 4.542, 4.542 Å; angles 60.00, 60.00, 60.00 degrees
Sites, in units of the cell vectors:
U (0.000, 0.000, 0.000)
Re (0.250, 0.250, 0.250)
Ge (0.750, 0.750, 0.750)

Calculated values
Energy: -8.52 eV per atom
Symmetry: No. 216

=====

No. 5
VASP calculation (PBE-GGA) on a relaxed Er2Sc2CBr3Cl2 crystal.

Cell lengths 8.622, 8.622, 8.071 Å; angles 102.67, 102.67, 24.53 degrees
Sites, in units of the cell vectors:
Er (0.002, 0.002, 0.301)
Er (0.998, 0.998, 0.699)
Sc (0.364, 0.364, 0.433)
Sc (0.636, 0.636, 0.567)
C (0.500, 0.500, 0.500)
Br (0.170, 0.170, 0.820)
Br (0.500, 0.500, 0.000)
Br (0.830, 0.830, 0.180)
Cl (0.169, 0.169, 0.362)
Cl (0.831, 0.831, 0.638)

Calculated values
Energy: -5.50 eV per atom
Symmetry: No. 12

=====

No. 6
VASP calculation (PBE-GGA) on a relaxed TaBeTlNi crystal.

Cell lengths 4.386, 4.386, 4.386 Å; angles 60.00, 60.00, 60.00 degrees
Sites, in units of the cell vectors:
Ta (0.000, 0.000, 0.000)
Be (0.250, 0.250, 0.250)
Tl (0.500, 0.500, 0.500)
Ni (0.750, 0.750, 0.750)

Calculated values
Energy: -5.47 eV per atom
Symmetry: No. 216

=====

- Look up the energy of the first one.
  -5.24 eV per atom

=====

- Which value of energy does entry 6 give?
  -5.47 eV per atom

=====

- Which of these has the highest energy?
  BaMg2CdGe

=====

Copy entry 1 word for word.
VASP calculation (PBE-GGA) on a relaxed NaNdFeSe3 crystal.

Cell lengths 7.009, 7.009, 11.177 Å; angles 90.00, 90.00, 145.74 degrees
Sites, in units of the cell vectors:
Na (0.245, 0.755, 0.750)
Na (0.755, 0.245, 0.250)
Nd (0.000, 0.000, 0.000)
Nd (0.000, 0.000, 0.500)
Fe (0.472, 0.528, 0.250)
Fe (0.528, 0.472, 0.750)
Se (0.080, 0.920, 0.250)
Se (0.359, 0.641, 0.081)
Se (0.359, 0.641, 0.419)
Se (0.641, 0.359, 0.581)
Se (0.641, 0.359, 0.919)
Se (0.920, 0.080, 0.750)

Calculated values
Energy: -5.24 eV per atom
Symmetry: No. 63